# Cs3Rb2ReO6 (PBE, relaxed)
data_Cs3Rb2ReO6
_chemical_formula_sum 'Cs6 Rb4 Re2 O12'
_cell_length_a 6.679
_cell_length_b 11.582
_cell_length_c 6.655
_cell_angle_alpha 90.00
_cell_angle_beta 108.74
_cell_angle_gamma 90.00
_space_group_name_H-M_alt 'C 1 2/m 1'
_space_group_IT_number 12
loop_
_space_group_symop_operation_xyz
'x,y,z'
'-x,-y,-z'
'-x,y,-z'
'x,-y,z'
'x+1/2,y+1/2,z'
'-x+1/2,-y+1/2,-z'
'-x+1/2,y+1/2,-z'
'x+1/2,-y+1/2,z'
loop_
_atom_site_label
_atom_site_type_symbol
_atom_site_fract_x
_atom_site_fract_y
_atom_site_fract_z
Cs1 Cs 0.000 0.000 0.000
Cs2 Cs 0.000 0.331 0.000
Rb1 Rb 0.000 0.167 0.500
Re1 Re 0.000 0.500 0.500
O1 O 0.175 0.500 0.318
O2 O 0.176 0.383 0.674
# E   -5.44 eV/atom